#P
# TlInCl2, PBEsol geometry, DFT SCAN
data_TlInCl2
_chemical_formula_sum 'Tl4 In4 Cl8'
_cell_length_a 7.4706
_cell_length_b 7.4706
_cell_length_c 7.4706
_cell_angle_alpha 90.00
_cell_angle_beta 90.00
_cell_angle_gamma 90.00
_symmetry_space_group_name_H-M 'F m -3 m'
_symmetry_Int_Tables_number 225
_symmetry_space_group_name_Hall '-F 4 2 3'
loop_
_atom_site_label
_atom_site_type_symbol
_atom_site_fract_x
_atom_site_fract_y
_atom_site_fract_z
_atom_site_occupancy
Tl1 Tl 0.0000 0.0000 0.0000 1
In1 In 0.0000 0.0000 0.5000 1
Cl1 Cl 0.2500 0.2500 0.2500 1
# Calculated density: 6.215 g/cm³
# D(E_F): 0.00 states/eV/f.u.

***

#Q
# TlInCl2, PBEsol geometry, DFT SCAN
data_TlInCl2
_chemical_formula_sum 'Tl2 In2 Cl4'
_cell_length_a 4.4471
_cell_length_b 4.2132
_cell_length_c 11.9233
_cell_angle_alpha 90.00
_cell_angle_beta 90.00
_cell_angle_gamma 90.00
_symmetry_space_group_name_H-M 'A m m 2'
_symmetry_Int_Tables_number 38
loop_
_symmetry_equiv_pos_as_xyz
'x,y,z'
'-x,-y,z'
'-x,y,z'
'x,-y,z'
'x,y+1/2,z+1/2'
'-x,-y+1/2,z+1/2'
'-x,y+1/2,z+1/2'
'x,-y+1/2,z+1/2'
loop_
_atom_site_label
_atom_site_type_symbol
_atom_site_fract_x
_atom_site_fract_y
_atom_site_fract_z
_atom_site_occupancy
Tl1 Tl 0.0000 0.0000 0.0000 1
In1 In 0.5000 0.0000 0.2159 1
Cl1 Cl 0.0000 0.0000 0.7448 1
Cl2 Cl 0.5000 0.0000 0.4440 1
# Calculated density: 5.799 g/cm³
# D(E_F): 0.00 states/eV/f.u.

***

#R
# TlInCl2, PBEsol geometry, DFT SCAN
data_TlInCl2
_chemical_formula_sum 'Tl4 In4 Cl8'
_cell_length_a 7.0757
_cell_length_b 7.0757
_cell_length_c 13.4416
_cell_angle_alpha 90.00
_cell_angle_beta 90.00
_cell_angle_gamma 90.00
_symmetry_space_group_name_H-M 'I -4 2 d'
_symmetry_Int_Tables_number 122
_symmetry_space_group_name_Hall 'I -4 2bw'
loop_
_atom_site_label
_atom_site_type_symbol
_atom_site_fract_x
_atom_site_fract_y
_atom_site_fract_z
_atom_site_occupancy
Tl1 Tl 0.0000 0.0000 0.0000 1
In1 In 0.0000 0.0000 0.5000 1
Cl1 Cl 0.2451 0.2500 0.6250 1
# Calculated density: 3.850 g/cm³
# D(E_F): 0.00 states/eV/f.u.

***

Stability order, top to bottom: #Q, #P, #R

***

#P
# InW2Cl, PBEsol geometry, DFT SCAN
data_InW2Cl
_chemical_formula_sum 'In4 W8 Cl4'
_cell_length_a 6.4067
_cell_length_b 6.4067
_cell_length_c 6.4067
_cell_angle_alpha 90.00
_cell_angle_beta 90.00
_cell_angle_gamma 90.00
_symmetry_space_group_name_H-M 'F m -3 m'
_symmetry_Int_Tables_number 225
_symmetry_space_group_name_Hall '-F 4 2 3'
loop_
_atom_site_label
_atom_site_type_symbol
_atom_site_fract_x
_atom_site_fract_y
_atom_site_fract_z
_atom_site_occupancy
In1 In 0.0000 0.0000 0.0000 1
W1 W 0.2500 0.2500 0.2500 1
Cl1 Cl 0.0000 0.0000 0.5000 1
# Calculated density: 13.082 g/cm³
# D(E_F): 3.54 states/eV/f.u.

***

#Q
# InW2Cl, PBEsol geometry, DFT SCAN
data_InW2Cl
_chemical_formula_sum 'In1 W2 Cl1'
_cell_length_a 2.8013
_cell_length_b 2.8013
_cell_length_c 8.5275
_cell_angle_alpha 90.00
_cell_angle_beta 90.00
_cell_angle_gamma 90.00
_symmetry_space_group_name_H-M 'P 4/m m m'
_symmetry_Int_Tables_number 123
_symmetry_space_group_name_Hall '-P 4 2'
loop_
_atom_site_label
_atom_site_type_symbol
_atom_site_fract_x
_atom_site_fract_y
_atom_site_fract_z
_atom_site_occupancy
In1 In 0.0000 0.0000 0.0000 1
W1 W 0.5000 0.5000 0.2605 1
Cl1 Cl 0.0000 0.0000 0.5000 1
# Calculated density: 12.853 g/cm³
# D(E_F): 2.98 states/eV/f.u.

***

Stability order, top to bottom: #Q, #P

***

#P
# In2WCl, PBEsol geometry, DFT SCAN
data_In2WCl
_chemical_formula_sum 'In2 W1 Cl1'
_cell_length_a 3.0800
_cell_length_b 3.0800
_cell_length_c 8.2549
_cell_angle_alpha 90.00
_cell_angle_beta 90.00
_cell_angle_gamma 90.00
_symmetry_space_group_name_H-M 'P 4/m m m'
_symmetry_Int_Tables_number 123
_symmetry_space_group_name_Hall '-P 4 2'
loop_
_atom_site_label
_atom_site_type_symbol
_atom_site_fract_x
_atom_site_fract_y
_atom_site_fract_z
_atom_site_occupancy
In1 In 0.0000 0.0000 0.2290 1
W1 W 0.5000 0.5000 0.0000 1
Cl1 Cl 0.5000 0.5000 0.5000 1
# Calculated density: 9.519 g/cm³
# D(E_F): 1.84 states/eV/f.u.

***

#Q
# In2WCl, PBEsol geometry, DFT SCAN
data_In2WCl
_chemical_formula_sum 'In4 W2 Cl2'
_cell_length_a 3.0031
_cell_length_b 5.4173
_cell_length_c 10.2619
_cell_angle_alpha 90.00
_cell_angle_beta 90.00
_cell_angle_gamma 90.00
_symmetry_space_group_name_H-M 'C m m 2'
_symmetry_Int_Tables_number 35
loop_
_symmetry_equiv_pos_as_xyz
'x,y,z'
'-x,-y,z'
'-x,y,z'
'x,-y,z'
'x+1/2,y+1/2,z'
'-x+1/2,-y+1/2,z'
'-x+1/2,y+1/2,z'
'x+1/2,-y+1/2,z'
loop_
_atom_site_label
_atom_site_type_symbol
_atom_site_fract_x
_atom_site_fract_y
_atom_site_fract_z
_atom_site_occupancy
In1 In 0.0000 0.0000 0.0000 1
In2 In 0.0000 0.5000 0.2727 1
W1 W 0.0000 0.0000 0.5104 1
Cl1 Cl 0.0000 0.5000 0.6939 1
# Calculated density: 8.930 g/cm³
# D(E_F): 1.94 states/eV/f.u.

***

#R
# In2WCl, PBEsol geometry, DFT SCAN
data_In2WCl
_chemical_formula_sum 'In2 W1 Cl1'
_cell_length_a 2.9441
_cell_length_b 5.1178
_cell_length_c 5.1672
_cell_angle_alpha 90.00
_cell_angle_beta 90.00
_cell_angle_gamma 90.00
_symmetry_space_group_name_H-M 'P m m m'
_symmetry_Int_Tables_number 47
loop_
_symmetry_equiv_pos_as_xyz
'x,y,z'
'-x,-y,-z'
'-x,-y,z'
'x,y,-z'
'x,-y,-z'
'-x,y,z'
'-x,y,-z'
'x,-y,z'
loop_
_atom_site_label
_atom_site_type_symbol
_atom_site_fract_x
_atom_site_fract_y
_atom_site_fract_z
_atom_site_occupancy
In1 In 0.0000 0.0000 0.0000 1
In2 In 0.5000 0.5000 0.0000 1
W1 W 0.0000 0.5000 0.5000 1
Cl1 Cl 0.5000 0.0000 0.5000 1
# Calculated density: 9.575 g/cm³
# D(E_F): 1.92 states/eV/f.u.

***

Stability order, top to bottom: #Q, #P, #R

***

#P
# InWCl, PBEsol geometry, DFT SCAN
data_InWCl
_chemical_formula_sum 'In2 W2 Cl2'
_cell_length_a 2.8884
_cell_length_b 2.8884
_cell_length_c 14.1595
_cell_angle_alpha 90.00
_cell_angle_beta 90.00
_cell_angle_gamma 90.00
_symmetry_space_group_name_H-M 'I 4 m m'
_symmetry_Int_Tables_number 107
_symmetry_space_group_name_Hall 'I 4 -2'
loop_
_atom_site_label
_atom_site_type_symbol
_atom_site_fract_x
_atom_site_fract_y
_atom_site_fract_z
_atom_site_occupancy
In1 In 0.0000 0.0000 0.0000 1
W1 W 0.0000 0.0000 0.6589 1
Cl1 Cl 0.0000 0.0000 0.2665 1
# Calculated density: 9.393 g/cm³
# D(E_F): 0.06 states/eV/f.u.

***

#Q
# InWCl, PBEsol geometry, DFT SCAN
data_InWCl
_chemical_formula_sum 'In4 W4 Cl4'
_cell_length_a 6.7512
_cell_length_b 6.7512
_cell_length_c 6.7512
_cell_angle_alpha 90.00
_cell_angle_beta 90.00
_cell_angle_gamma 90.00
_symmetry_space_group_name_H-M 'F -4 3 m'
_symmetry_Int_Tables_number 216
_symmetry_space_group_name_Hall 'F -4 2 3'
loop_
_atom_site_label
_atom_site_type_symbol
_atom_site_fract_x
_atom_site_fract_y
_atom_site_fract_z
_atom_site_occupancy
In1 In 0.0000 0.0000 0.0000 1
W1 W 0.2500 0.2500 0.2500 1
Cl1 Cl 0.2500 0.2500 0.7500 1
# Calculated density: 7.212 g/cm³
# D(E_F): 1.18 states/eV/f.u.

***

Stability order, top to bottom: #P, #Q

***

#P
# ZrIn2Cl, PBEsol geometry, DFT SCAN
data_ZrIn2Cl
_chemical_formula_sum 'Zr2 In4 Cl2'
_cell_length_a 3.1193
_cell_length_b 5.4161
_cell_length_c 10.6796
_cell_angle_alpha 90.00
_cell_angle_beta 90.00
_cell_angle_gamma 90.00
_symmetry_space_group_name_H-M 'I m m 2'
_symmetry_Int_Tables_number 44
loop_
_symmetry_equiv_pos_as_xyz
'x,y,z'
'-x,-y,z'
'-x,y,z'
'x,-y,z'
'x+1/2,y+1/2,z+1/2'
'-x+1/2,-y+1/2,z+1/2'
'-x+1/2,y+1/2,z+1/2'
'x+1/2,-y+1/2,z+1/2'
loop_
_atom_site_label
_atom_site_type_symbol
_atom_site_fract_x
_atom_site_fract_y
_atom_site_fract_z
_atom_site_occupancy
Zr1 Zr 0.0000 0.0000 0.0000 1
In1 In 0.0000 0.0000 0.4712 1
In2 In 0.0000 0.5000 0.2494 1
Cl1 Cl 0.0000 0.5000 0.6872 1
# Calculated density: 6.559 g/cm³
# D(E_F): 2.43 states/eV/f.u.

***

#Q
# ZrIn2Cl, PBEsol geometry, DFT SCAN
data_ZrIn2Cl
_chemical_formula_sum 'Zr2 In4 Cl2'
_cell_length_a 11.2905
_cell_length_b 3.1119
_cell_length_c 5.3624
_cell_angle_alpha 90.00
_cell_angle_beta 108.67
_cell_angle_gamma 90.00
_symmetry_space_group_name_H-M 'C 1 m 1'
_symmetry_Int_Tables_number 8
loop_
_symmetry_equiv_pos_as_xyz
'x,y,z'
'x,-y,z'
'x+1/2,y+1/2,z'
'x+1/2,-y+1/2,z'
loop_
_atom_site_label
_atom_site_type_symbol
_atom_site_fract_x
_atom_site_fract_y
_atom_site_fract_z
_atom_site_occupancy
Zr1 Zr 0.0000 0.0000 0.0000 1
In1 In 0.0438 0.5000 0.5110 1
In2 In 0.2519 0.5000 0.1570 1
Cl1 Cl 0.3262 0.0000 0.7193 1
# Calculated density: 6.630 g/cm³
# D(E_F): 2.49 states/eV/f.u.

***

#R
# ZrIn2Cl, PBEsol geometry, DFT SCAN
data_ZrIn2Cl
_chemical_formula_sum 'Zr3 In6 Cl3'
_cell_length_a 3.3531
_cell_length_b 3.3531
_cell_length_c 27.3251
_cell_angle_alpha 90.00
_cell_angle_beta 90.00
_cell_angle_gamma 120.00
_symmetry_space_group_name_H-M 'R -3 m'
_symmetry_Int_Tables_number 166
_symmetry_space_group_name_Hall '-R 3 2"'
loop_
_atom_site_label
_atom_site_type_symbol
_atom_site_fract_x
_atom_site_fract_y
_atom_site_fract_z
_atom_site_occupancy
Zr1 Zr 0.0000 0.0000 0.0000 1
In1 In 0.0000 0.0000 0.2485 1
Cl1 Cl 0.0000 0.0000 0.5000 1
# Calculated density: 6.672 g/cm³
# D(E_F): 1.78 states/eV/f.u.

***

Stability order, top to bottom: #Q, #P, #R

***

#P
# LaIr2Cl, PBEsol geometry, DFT SCAN
data_LaIr2Cl
_chemical_formula_sum 'La2 Ir4 Cl2'
_cell_length_a 3.0315
_cell_length_b 4.5076
_cell_length_c 10.9594
_cell_angle_alpha 90.00
_cell_angle_beta 90.00
_cell_angle_gamma 90.00
_symmetry_space_group_name_H-M 'I m m m'
_symmetry_Int_Tables_number 71
_symmetry_space_group_name_Hall '-I 2 2'
loop_
_atom_site_label
_atom_site_type_symbol
_atom_site_fract_x
_atom_site_fract_y
_atom_site_fract_z
_atom_site_occupancy
La1 La 0.0000 0.0000 0.0000 1
Ir1 Ir 0.0000 0.5000 0.2555 1
Cl1 Cl 0.0000 0.0000 0.5000 1
# Calculated density: 12.392 g/cm³
# D(E_F): 4.06 states/eV/f.u.

***

#Q
# LaIr2Cl, PBEsol geometry, DFT SCAN
data_LaIr2Cl
_chemical_formula_sum 'La2 Ir4 Cl2'
_cell_length_a 3.7768
_cell_length_b 3.7768
_cell_length_c 10.8337
_cell_angle_alpha 90.00
_cell_angle_beta 90.00
_cell_angle_gamma 90.00
_symmetry_space_group_name_H-M 'I 4/m m m'
_symmetry_Int_Tables_number 139
_symmetry_space_group_name_Hall '-I 4 2'
loop_
_atom_site_label
_atom_site_type_symbol
_atom_site_fract_x
_atom_site_fract_y
_atom_site_fract_z
_atom_site_occupancy
La1 La 0.0000 0.0000 0.0000 1
Ir1 Ir 0.0000 0.5000 0.2500 1
Cl1 Cl 0.0000 0.0000 0.5000 1
# Calculated density: 12.009 g/cm³
# D(E_F): 3.54 states/eV/f.u.

***

Stability order, top to bottom: #P, #Q

***

#P
# MgIr2Cl, PBEsol geometry, DFT SCAN
data_MgIr2Cl
_chemical_formula_sum 'Mg1 Ir2 Cl1'
_cell_length_a 2.8213
_cell_length_b 4.3129
_cell_length_c 5.1426
_cell_angle_alpha 90.00
_cell_angle_beta 90.00
_cell_angle_gamma 90.00
_symmetry_space_group_name_H-M 'P m m m'
_symmetry_Int_Tables_number 47
loop_
_symmetry_equiv_pos_as_xyz
'x,y,z'
'-x,-y,-z'
'-x,-y,z'
'x,y,-z'
'x,-y,-z'
'-x,y,z'
'-x,y,-z'
'x,-y,z'
loop_
_atom_site_label
_atom_site_type_symbol
_atom_site_fract_x
_atom_site_fract_y
_atom_site_fract_z
_atom_site_occupancy
Mg1 Mg 0.0000 0.0000 0.0000 1
Ir1 Ir 0.5000 0.5000 0.2429 1
Cl1 Cl 0.0000 0.0000 0.5000 1
# Calculated density: 11.787 g/cm³
# D(E_F): 3.75 states/eV/f.u.

***

#Q
# MgIr2Cl, PBEsol geometry, DFT SCAN
data_MgIr2Cl
_chemical_formula_sum 'Mg2 Ir4 Cl2'
_cell_length_a 2.8799
_cell_length_b 5.0075
_cell_length_c 8.6083
_cell_angle_alpha 90.00
_cell_angle_beta 90.00
_cell_angle_gamma 90.00
_symmetry_space_group_name_H-M 'C m m 2'
_symmetry_Int_Tables_number 35
loop_
_symmetry_equiv_pos_as_xyz
'x,y,z'
'-x,-y,z'
'-x,y,z'
'x,-y,z'
'x+1/2,y+1/2,z'
'-x+1/2,-y+1/2,z'
'-x+1/2,y+1/2,z'
'x+1/2,-y+1/2,z'
loop_
_atom_site_label
_atom_site_type_symbol
_atom_site_fract_x
_atom_site_fract_y
_atom_site_fract_z
_atom_site_occupancy
Mg1 Mg 0.0000 0.0000 0.0000 1
Ir1 Ir 0.0000 0.0000 0.5031 1
Ir2 Ir 0.0000 0.5000 0.2542 1
Cl1 Cl 0.0000 0.5000 0.7775 1
# Calculated density: 11.883 g/cm³
# D(E_F): 2.68 states/eV/f.u.

***

#R
# MgIr2Cl, PBEsol geometry, DFT SCAN
data_MgIr2Cl
_chemical_formula_sum 'Mg2 Ir4 Cl2'
_cell_length_a 4.8400
_cell_length_b 4.8400
_cell_length_c 5.2821
_cell_angle_alpha 90.00
_cell_angle_beta 90.00
_cell_angle_gamma 90.00
_symmetry_space_group_name_H-M 'I -4 m 2'
_symmetry_Int_Tables_number 119
_symmetry_space_group_name_Hall 'I -4 -2'
loop_
_atom_site_label
_atom_site_type_symbol
_atom_site_fract_x
_atom_site_fract_y
_atom_site_fract_z
_atom_site_occupancy
Mg1 Mg 0.0000 0.0000 0.0000 1
Ir1 Ir 0.0000 0.0000 0.5000 1
Ir2 Ir 0.0000 0.5000 0.7500 1
Cl1 Cl 0.0000 0.5000 0.2500 1
# Calculated density: 11.922 g/cm³
# D(E_F): 4.08 states/eV/f.u.

***

Stability order, top to bottom: #Q, #P, #R

***

#P
# MgIrCl2, PBEsol geometry, DFT SCAN
data_MgIrCl2
_chemical_formula_sum 'Mg2 Ir2 Cl4'
_cell_length_a 3.2891
_cell_length_b 5.0274
_cell_length_c 10.1430
_cell_angle_alpha 90.00
_cell_angle_beta 90.00
_cell_angle_gamma 90.00
_symmetry_space_group_name_H-M 'C m m m'
_symmetry_Int_Tables_number 65
_symmetry_space_group_name_Hall '-C 2 2'
loop_
_atom_site_label
_atom_site_type_symbol
_atom_site_fract_x
_atom_site_fract_y
_atom_site_fract_z
_atom_site_occupancy
Mg1 Mg 0.0000 0.0000 0.0000 1
Ir1 Ir 0.0000 0.0000 0.5000 1
Cl1 Cl 0.0000 0.5000 0.1621 1
# Calculated density: 5.691 g/cm³
# D(E_F): 1.79 states/eV/f.u.

***

#Q
# MgIrCl2, PBEsol geometry, DFT SCAN
data_MgIrCl2
_chemical_formula_sum 'Mg2 Ir2 Cl4'
_cell_length_a 14.1182
_cell_length_b 3.0155
_cell_length_c 3.8567
_cell_angle_alpha 90.00
_cell_angle_beta 105.73
_cell_angle_gamma 90.00
_symmetry_space_group_name_H-M 'C 1 m 1'
_symmetry_Int_Tables_number 8
loop_
_symmetry_equiv_pos_as_xyz
'x,y,z'
'x,-y,z'
'x+1/2,y+1/2,z'
'x+1/2,-y+1/2,z'
loop_
_atom_site_label
_atom_site_type_symbol
_atom_site_fract_x
_atom_site_fract_y
_atom_site_fract_z
_atom_site_occupancy
Mg1 Mg 0.0000 0.0000 0.0000 1
Ir1 Ir 0.3406 0.0000 0.8439 1
Cl1 Cl 0.0823 0.5000 0.5838 1
Cl2 Cl 0.3215 0.5000 0.3249 1
# Calculated density: 6.040 g/cm³
# D(E_F): 0.74 states/eV/f.u.

***

Stability order, top to bottom: #Q, #P